# ZrMo3Se (GGA-PBEsol, relaxed)
# **Calculated density**: 7.987 g/cm3
# **ΔE_f (raw)**: 0.7604 eV per atom
# **Total magnetization**: 0.0 μB per formula unit
data_ZrMo3Se
_cell_length_a 4.567
_cell_length_b 4.567
_cell_length_c 4.567
_cell_angle_alpha 90.00
_cell_angle_beta 90.00
_cell_angle_gamma 90.00
_space_group_name_H-M_alt 'P 1'
_space_group_IT_number 1
_space_group_name_Hall 'P 1'
loop_
_atom_site_label
_atom_site_fract_x
_atom_site_fract_y
_atom_site_fract_z
Zr1 0.000 0.000 0.000
Mo1 0.000 0.500 0.500
Mo2 0.500 0.000 0.500
Mo3 0.500 0.500 0.000
Se1 0.500 0.500 0.500

=====

# Ta2NiOs (GGA-PBEsol, relaxed)
# **Calculated density**: 16.822 g/cm3
# **Energy of formation**: -0.119 eV/atom
# **ΔE to the lowest computed polymorph**: 128 meV per atom
# **Total magnetization**: 0.0 μB per formula unit
data_Ta2NiOs
_cell_length_a 4.760
_cell_length_b 4.760
_cell_length_c 4.581
_cell_angle_alpha 102.04
_cell_angle_beta 102.04
_cell_angle_gamma 36.55
_space_group_name_H-M_alt 'P 1'
_space_group_IT_number 1
_space_group_name_Hall 'P 1'
loop_
_atom_site_label
_atom_site_fract_x
_atom_site_fract_y
_atom_site_fract_z
Ta1 0.000 0.000 0.000
Ta2 0.229 0.229 0.685
Ni1 0.737 0.737 0.192
Os1 0.473 0.473 0.463

=====

| no. | calculated total energy (Ry/atom) |
| --- | --- |
| 1 | -0.6533 |
| 2 | -0.8076 |